This record from Alexandria via LeMat-Bulk describes Sc3GeTe after structural relaxation. The functional is PBE-GGA.

D(E_F) = 3.6 states/eV/f.u.
uncorrected formation energy = -18.86 kcal/mol of atoms

```
data_Sc3GeTe
_symmetry_space_group_name_H-M 'P 1'
_symmetry_Int_Tables_number 1
_cell_length_a 4.0148
_cell_length_b 6.6993
_cell_length_c 8.6881
_cell_angle_alpha 95.86
_cell_angle_beta 90.00
_cell_angle_gamma 90.00
loop_
_symmetry_equiv_pos_as_xyz
'x,y,z'
loop_
_atom_site_label
_atom_site_fract_x
_atom_site_fract_y
_atom_site_fract_z
_atom_site_occupancy
Sc1 0.2500 0.4791 0.3294 1
Sc2 0.2500 0.3263 0.9131 1
Sc3 0.7500 0.6737 0.0869 1
Sc4 0.7500 0.5209 0.6706 1
Sc5 0.7500 0.0138 0.6706 1
Sc6 0.2500 0.9862 0.3294 1
Ge1 0.2500 0.2569 0.5881 1
Ge2 0.7500 0.7431 0.4119 1
Te1 0.7500 0.2112 0.1465 1
Te2 0.2500 0.7888 0.8535 1
```

---

This record from Alexandria via LeMat-Bulk describes In12Cu3Hg5 after structural relaxation. The functional is PBE-GGA.

D(E_F) = 15.4 states/eV/f.u.
final energy = -2.16 eV per atom

```
data_In12Cu3Hg5
_symmetry_space_group_name_H-M 'P 1'
_symmetry_Int_Tables_number 1
_cell_length_a 14.3940
_cell_length_b 14.3940
_cell_length_c 14.3940
_cell_angle_alpha 109.47
_cell_angle_beta 109.47
_cell_angle_gamma 109.47
loop_
_symmetry_equiv_pos_as_xyz
'x,y,z'
loop_
_atom_site_label
_atom_site_fract_x
_atom_site_fract_y
_atom_site_fract_z
_atom_site_occupancy
Hg1 0.2500 0.8750 0.1250 1
Hg2 0.7500 0.6250 0.3750 1
Hg3 0.5000 0.0000 0.0000 1
Hg4 0.5000 0.0000 0.5000 1
Hg5 0.3750 0.1250 0.7500 1
Hg6 0.7500 0.1250 0.8750 1
Hg7 0.3750 0.2500 0.1250 1
Hg8 0.5000 0.5000 0.5000 1
Hg9 0.0000 0.5000 0.5000 1
Hg10 0.8750 0.6250 0.7500 1
Hg11 0.0000 0.0000 0.5000 1
Hg12 0.0000 0.5000 0.0000 1
Hg13 0.0000 0.0000 0.0000 1
Hg14 0.6250 0.7500 0.8750 1
Hg15 0.1250 0.7500 0.3750 1
Hg16 0.5000 0.5000 0.0000 1
Hg17 0.8750 0.2500 0.6250 1
Hg18 0.2500 0.3750 0.6250 1
Hg19 0.1250 0.3750 0.2500 1
Hg20 0.6250 0.8750 0.2500 1
In1 0.7593 0.3338 0.8896 1
In2 0.3896 0.1303 0.5558 1
In3 0.6303 0.0745 0.2407 1
In4 0.3896 0.2593 0.3338 1
In5 0.1303 0.3896 0.0558 1
In6 0.1303 0.7407 0.5745 1
In7 0.2407 0.5745 0.6303 1
In8 0.2407 0.6662 0.1104 1
In9 0.2593 0.8697 0.9255 1
In10 0.5745 0.2407 0.1303 1
In11 0.9442 0.8338 0.5745 1
In12 0.5745 0.3338 0.9442 1
In13 0.9255 0.3697 0.2593 1
In14 0.3338 0.5745 0.4442 1
In15 0.0558 0.1662 0.4255 1
In16 0.4255 0.6662 0.0558 1
In17 0.3697 0.4442 0.1104 1
In18 0.6662 0.4255 0.5558 1
In19 0.4442 0.0745 0.3338 1
In20 0.0558 0.8896 0.1303 1
In21 0.6104 0.7407 0.6662 1
In22 0.6662 0.2407 0.6104 1
In23 0.8896 0.0558 0.6303 1
In24 0.1104 0.9442 0.3697 1
In25 0.6104 0.8697 0.4442 1
In26 0.8896 0.8338 0.7593 1
In27 0.8338 0.8896 0.2593 1
In28 0.9255 0.5558 0.1662 1
In29 0.5558 0.6303 0.3896 1
In30 0.0745 0.4442 0.8338 1
In31 0.4255 0.7593 0.8697 1
In32 0.0745 0.6303 0.7407 1
In33 0.1662 0.0558 0.9255 1
In34 0.8697 0.2593 0.4255 1
In35 0.1104 0.1662 0.2407 1
In36 0.6303 0.5558 0.8896 1
In37 0.8697 0.6104 0.9442 1
In38 0.9442 0.1104 0.8697 1
In39 0.1662 0.1104 0.7407 1
In40 0.4442 0.3697 0.6104 1
In41 0.2593 0.3896 0.8338 1
In42 0.8338 0.9442 0.0745 1
In43 0.3697 0.9255 0.7593 1
In44 0.3338 0.7593 0.3896 1
In45 0.7593 0.4255 0.3697 1
In46 0.7407 0.6104 0.1662 1
In47 0.5558 0.9255 0.6662 1
In48 0.7407 0.1303 0.0745 1
Cu1 0.7500 0.8750 0.6250 1
Cu2 0.3750 0.6250 0.2500 1
Cu3 0.6250 0.2500 0.3750 1
Cu4 0.2500 0.1250 0.3750 1
Cu5 0.1250 0.2500 0.8750 1
Cu6 0.8750 0.1250 0.2500 1
Cu7 0.2500 0.6250 0.8750 1
Cu8 0.7500 0.3750 0.1250 1
Cu9 0.6250 0.3750 0.7500 1
Cu10 0.1250 0.8750 0.7500 1
Cu11 0.3750 0.7500 0.6250 1
Cu12 0.8750 0.7500 0.1250 1
```

---

This record from Alexandria via LeMat-Bulk describes Ba2HIrSe after structural relaxation. The functional is PBE-GGA.

D(E_F) = 2.2 states/eV/f.u.
final energy = -4.53 eV per atom

```
data_Ba2HIrSe
_symmetry_space_group_name_H-M 'P 1'
_symmetry_Int_Tables_number 1
_cell_length_a 5.9203
_cell_length_b 5.9203
_cell_length_c 3.7117
_cell_angle_alpha 90.00
_cell_angle_beta 90.00
_cell_angle_gamma 90.00
loop_
_symmetry_equiv_pos_as_xyz
'x,y,z'
loop_
_atom_site_label
_atom_site_fract_x
_atom_site_fract_y
_atom_site_fract_z
_atom_site_occupancy
Ba1 0.0000 0.5000 0.0000 1
Ba2 0.5000 0.0000 0.0000 1
H1 0.0000 0.0000 0.5000 1
Se1 0.5000 0.5000 0.5000 1
Ir1 0.0000 0.0000 0.0000 1
```